GGA-PBE Li2AcCu3, optimized geometry; E_tot = -3.441 eV per atom; density of states at the Fermi level = 7.1 states/eV per cell; mass density = 6.395 Mg/m³; V = 18.67 A^3/atom; energy of formation = -0.4 eV per formula unit; relative energy among the computed polymorphs = 0 meV per atom; spin magnetization = 0.00 Bohr magnetons per cell
1.0
5.005 0.000 0.000
0.000 6.727 0.171
0.000 -1.184 6.625
Li Cu Ac
4 6 2
Cartesian
2.503 5.013 1.570
0.000 0.531 5.226
0.000 5.013 1.570
2.503 0.531 5.226
3.754 2.961 0.507
1.251 2.583 6.289
3.754 -0.098 3.002
1.251 5.642 3.793
3.754 0.387 0.475
1.251 5.156 6.321
1.251 1.646 2.018
3.754 3.897 4.778